Entry from OQMD: a geometry-optimized Na6Ag structure (PBE-GGA).

The space group is I4/mcm (No. 140) and the conventional cell measures 11.689, 11.689 and 5.667 Å, with angles of 90.00, 90.00 and 90.00 degrees. The distinct sites, in fractional coordinates, are Na at (0.100, 0.204, 0.000), Na at (0.102, 0.398, 0.500) and Ag at (0.000, 0.000, 0.250).

Its density is 2.11 g cm⁻³. For the volume, the calculation gives 27.653 A^3/atom. The calculation puts the total energy at -1.506 eV per atom.

Entry from OQMD: a geometry-optimized Na4Ag structure (PBE-GGA).

The space group is Imma (No. 74) and the conventional cell measures 5.000, 6.324 and 15.551 Å, with angles of 90.00, 90.00 and 90.00 degrees. The distinct sites, in fractional coordinates, are Na at (0.000, 0.000, 0.000), Na at (0.000, 0.013, 0.198), Na at (0.000, 0.250, 0.592) and Ag at (0.000, 0.250, 0.390).

Its density is 2.70 g cm⁻³. For the volume, the calculation gives 24.589 A^3/atom. The calculation puts the total energy at -1.559 eV per atom.

Entry from OQMD: a geometry-optimized NaAg2 structure (PBE-GGA).

The space group is Fd-3m (No. 227, origin choice 2) and the conventional cell measures 7.907, 7.907 and 7.907 Å, with angles of 90.00, 90.00 and 90.00 degrees. The distinct sites, in fractional coordinates, are Na at (0.125, 0.125, 0.125) and Ag at (0.000, 0.000, 0.500).

Its density is 6.41 g cm⁻³. For the volume, the calculation gives 20.600 A^3/atom. The value obtained for the energy relative to the lowest polymorph listed for this composition is 0.00 eV per formula unit.

Which value of volume does entry 1 give? 27.653 A^3/atom

What is the density in the second record? 2.70 g cm⁻³

Number 1 is which compound? Na6Ag